(1)
Computed, not measured: an optimized crystal structure of Ca2FePt2 at the GGA-PBE level of DFT.

Structure (POSCAR):
```
Ca2FePt2
1.0
8.317 0.000 0.000
0.000 8.317 0.000
0.000 0.000 3.049
Ca Fe Pt
4 2 4
Direct
0.356 0.856 0.000
0.856 0.644 0.000
0.644 0.144 0.000
0.144 0.356 0.000
0.000 0.000 0.000
0.500 0.500 0.000
0.156 0.656 0.500
0.656 0.844 0.500
0.844 0.344 0.500
0.344 0.156 0.500
```

Results
DFT formation energy: -60 meV/atom
Space-group type: P4/mbm (127)
Calculated total energy: -49.693 eV for the cell shown
Spin magnetization: 3.274 μB/f.u.

=====

(2)
Computed, not measured: an optimized crystal structure of B2SbRuI at the GGA-PBE level of DFT.

Structure (POSCAR):
```
B2SbRuI
1.0
-2.784 2.589 -1.960
3.161 -1.831 -6.909
-2.748 -3.254 -0.395
I Sb B Ru
1 1 2 1
Direct
0.000 0.500 0.000
0.000 0.000 0.000
0.000 0.000 0.500
0.500 0.000 0.000
0.500 0.500 0.500
```

Results
Formation energy (no corrections): 10.93 eV per formula unit
Space-group type: P4/mmm (123)
Calculated total energy: -17.372 eV for the cell shown
Spin magnetization: 2.344 μB/f.u.

=====

(3)
Computed, not measured: an optimized crystal structure of Hg2AuCl at the GGA-PBE level of DFT.

Structure (POSCAR):
```
Hg2AuCl
1.0
5.095 0.000 0.000
2.548 4.412 0.000
2.548 1.471 4.160
Au Hg Cl
1 2 1
Direct
0.500 0.500 0.500
0.000 0.000 0.000
0.750 0.750 0.750
0.250 0.250 0.250
```

Results
Formation energy (no corrections): 0.71 eV per formula unit
Energy above the most stable polymorph in this dataset: 303 meV per atom
Space-group type: F-43m (216)
Calculated total energy: -5.016 eV for the cell shown
Spin magnetization: 0.000 μB/f.u.

=====

(4)
Computed, not measured: an optimized crystal structure of Ti4AlMo at the GGA-PBE level of DFT.

Structure (POSCAR):
```
Ti4AlMo
1.0
4.297 0.000 0.000
0.000 4.298 0.001
0.005 0.009 6.314
Ti Al Mo
4 1 1
Direct
0.501 0.997 0.263
0.501 0.998 0.734
0.002 0.498 0.734
0.001 0.497 0.263
0.501 0.497 0.998
0.001 0.997 0.498
```

Results
Energy above the most stable polymorph in this dataset: 437 meV per atom
DFT formation energy: 351 meV/atom
Space-group type: C2/m (12)
Calculated total energy: -44.045 eV for the cell shown
Spin magnetization: 0.000 μB/f.u.